[1]
First-principles (PBE) data for a relaxed Tb2ZnSi3Ni4 crystal, as listed in the Alexandria database.

The structure in POSCAR format:
```
Tb2ZnSi3Ni4
1.0
4.0026 0.0000 0.0000
0.0000 4.0026 0.0000
0.0000 0.0000 9.5616
Tb Zn Si Ni
2 1 3 4
Direct
0.0000 0.5000 0.2483
0.5000 0.0000 0.7517
0.0000 0.0000 0.5000
0.0000 0.5000 0.8738
0.5000 0.0000 0.1262
0.5000 0.5000 0.5000
0.0000 0.0000 0.0000
0.0000 0.5000 0.6354
0.5000 0.0000 0.3646
0.5000 0.5000 0.0000
```

Computed properties:
The value obtained for the density of states at the Fermi level is 0.671 states/eV/atom. Its uncorrected formation energy is -0.739 eV per atom. As for the space-group type: P-4m2. The value obtained for the volume is 153.2 Å³ per cell. The calculation puts the calculated total energy at -5.731 eV per atom. Its crystal system is tetragonal.


[2]
First-principles (PBE) data for a relaxed DyErU2As4 crystal, as listed in the Alexandria database.

The structure in POSCAR format:
```
DyErU2As4
1.0
7.0327 0.0000 0.0000
0.0000 4.0595 0.0000
-2.3431 0.0000 6.7812
Dy Er U As
1 1 2 4
Direct
0.0000 0.0000 0.0000
0.5000 0.5000 0.0000
0.0000 0.5000 0.5000
0.5000 0.0000 0.5000
0.2512 0.0000 0.7502
0.2513 0.5000 0.2506
0.7488 0.0000 0.2498
0.7487 0.5000 0.7494
```

Computed properties:
The value obtained for the density of states at the Fermi level is 0.894 states/eV/atom. As for the space-group type: P2/m. The value obtained for the volume is 193.6 Å³ per cell. The calculation puts the calculated total energy at -7.425 eV per atom. The formation energy is -9.1 eV per formula unit. Its crystal system is monoclinic.


[3]
First-principles (PBE) data for a relaxed GdDyRuAu crystal, as listed in the Alexandria database.

The structure in POSCAR format:
```
GdDyRuAu
1.0
7.0319 0.0000 0.0000
0.0000 7.0319 0.0000
0.0000 0.0000 7.0319
Gd Dy Ru Au
4 4 4 4
Direct
0.0000 0.0000 0.0000
0.0000 0.5000 0.5000
0.5000 0.0000 0.5000
0.5000 0.5000 0.0000
0.0000 0.0000 0.5000
0.0000 0.5000 0.0000
0.5000 0.0000 0.0000
0.5000 0.5000 0.5000
0.2500 0.2500 0.7500
0.2500 0.7500 0.2500
0.7500 0.2500 0.2500
0.7500 0.7500 0.7500
0.2500 0.2500 0.2500
0.2500 0.7500 0.7500
0.7500 0.2500 0.7500
0.7500 0.7500 0.2500
```

Computed properties:
The value obtained for the density of states at the Fermi level is 0.562 states/eV/atom. As for the space-group type: F-43m. The value obtained for the volume is 347.7 Å³ per cell. The calculation puts the calculated total energy at -8.364 eV per atom. The formation energy is -2.2 eV per formula unit. Its crystal system is cubic.